Here is crystalline Ho5CuRh2 at its relaxed geometry from Alexandria. Energies are from GGA-PBE.

Values from the calculation:
* density: 9.55 g cm⁻³
* energy relative to the elements: -0.549 eV per atom
* E_tot: -5.7595 eV per atom

```
Ho5CuRh2
1.0
-3.807 3.807 6.562
3.807 -3.807 6.562
3.807 3.807 -6.562
Ho Cu Rh
10 2 4
direct
0.000 0.000 0.000 Ho
0.022 0.522 0.824 Ho
0.198 0.022 0.500 Ho
0.302 0.802 0.824 Ho
0.478 0.302 0.500 Ho
0.500 0.500 0.000 Ho
0.522 0.698 0.500 Ho
0.698 0.198 0.176 Ho
0.802 0.978 0.500 Ho
0.978 0.478 0.176 Ho
0.250 0.250 0.000 Cu
0.750 0.750 0.000 Cu
0.138 0.362 0.500 Rh
0.362 0.862 0.223 Rh
0.638 0.138 0.777 Rh
0.862 0.638 0.500 Rh
```